The following is a GGA-PBE calculation of a relaxed Nd2Cu12Ni3Sn crystal, from Alexandria.

For the formation energy, the calculation gives 0.084 eV/atom. As for the crystal system: trigonal. As for the raw total energy: -4.362 eV/atom.

The space group is R-3m (No. 166, hexagonal axes) and the conventional cell measures 8.6062, 8.6062 and 12.4851 Å, with angles of 90.00, 90.00 and 120.00 degrees. The inequivalent atoms are Nd at (0.0000, 0.0000, 0.2430), Cu at (0.0055, 0.5027, 0.2075), Cu at (0.0506, 0.5253, 0.6019), Ni at (0.0000, 0.5000, 0.0000) and Sn at (0.0000, 0.0000, 0.5000).



The following is a GGA-PBE calculation of a relaxed SrNdCuNi crystal, from Alexandria.

For the formation energy, the calculation gives -0.010 eV/atom. As for the crystal system: cubic. As for the raw total energy: -4.092 eV/atom.

The space group is F-43m (No. 216) and the conventional cell measures 7.196, 7.196 and 7.196 Å, with angles of 90.00, 90.00 and 90.00 degrees. The inequivalent atoms are Sr at (0.000, 0.000, 0.000), Nd at (0.000, 0.000, 0.500), Cu at (0.250, 0.250, 0.250) and Ni at (0.250, 0.250, 0.750).



Repeat the second record exactly.
The following is a GGA-PBE calculation of a relaxed SrNdCuNi crystal, from Alexandria.

For the formation energy, the calculation gives -0.010 eV/atom. As for the crystal system: cubic. As for the raw total energy: -4.092 eV/atom.

The space group is F-43m (No. 216) and the conventional cell measures 7.196, 7.196 and 7.196 Å, with angles of 90.00, 90.00 and 90.00 degrees. The inequivalent atoms are Sr at (0.000, 0.000, 0.000), Nd at (0.000, 0.000, 0.500), Cu at (0.250, 0.250, 0.250) and Ni at (0.250, 0.250, 0.750).



Which value of raw total energy does entry 2 give?
-4.092 eV/atom



Copy entry 1 word for word.
The following is a GGA-PBE calculation of a relaxed Nd2Cu12Ni3Sn crystal, from Alexandria.

For the formation energy, the calculation gives 0.084 eV/atom. As for the crystal system: trigonal. As for the raw total energy: -4.362 eV/atom.

The space group is R-3m (No. 166, hexagonal axes) and the conventional cell measures 8.6062, 8.6062 and 12.4851 Å, with angles of 90.00, 90.00 and 120.00 degrees. The inequivalent atoms are Nd at (0.0000, 0.0000, 0.2430), Cu at (0.0055, 0.5027, 0.2075), Cu at (0.0506, 0.5253, 0.6019), Ni at (0.0000, 0.5000, 0.0000) and Sn at (0.0000, 0.0000, 0.5000).



Which of these has the lowest raw total energy?
Nd2Cu12Ni3Sn